Material: Sm5Te4Se
Method: DFT, PBE-GGA
State: optimized geometry

Cell lengths 4.341, 4.341, 16.265 Å; angles 97.67, 97.67, 90.00 degrees
Positions (direct):
Sm 0.088 0.088 0.177
Sm 0.500 0.500 0.000
Sm 0.912 0.912 0.823
Sm 0.289 0.289 0.579
Sm 0.711 0.711 0.421
Te 0.398 0.398 0.795
Te 0.809 0.809 0.618
Te 0.191 0.191 0.382
Te 0.602 0.602 0.205
Se 0.000 0.000 0.000

Results
As for the crystal system: tetragonal. The raw formation energy comes out at -1.4643 eV per atom. Its space group is I4/mmm. For the density of states at the Fermi level, the calculation gives 4.9 states/eV/f.u. The calculation puts the calculated total energy at -5.429 eV per atom.

Material: Sr2AlInTe5
Method: DFT, PBE-GGA
State: optimized geometry

Cell lengths 4.345, 10.687, 13.414 Å; angles 90.00, 90.00, 101.73 degrees
Positions (direct):
Sr 0.883 0.767 0.796
Sr 0.111 0.222 0.674
Sr 0.117 0.233 0.296
Sr 0.889 0.778 0.174
Al 0.567 0.133 0.947
Al 0.433 0.867 0.447
In 0.771 0.543 0.525
In 0.229 0.457 0.025
Te 0.362 0.724 0.989
Te 0.686 0.372 0.879
Te 0.506 0.012 0.778
Te 0.278 0.556 0.677
Te 0.957 0.913 0.558
Te 0.638 0.276 0.489
Te 0.314 0.628 0.379
Te 0.494 0.988 0.278
Te 0.722 0.444 0.177
Te 0.043 0.087 0.058

Results
As for the crystal system: orthorhombic. The raw formation energy comes out at -0.9517 eV per atom. Its space group is Cmc2_1. The calculation puts the calculated total energy at -3.791 eV per atom.